No. 1
Below is a geometry-optimized MgSiSe structure, with properties calculated at the PBE-GGA level.

```
MgSiSe
1.0
4.037 0.000 0.000
-2.018 3.496 0.000
0.000 0.000 10.506
Mg Se Si
2 2 2
direct
0.333 0.667 0.629 Mg
0.667 0.333 0.973 Mg
0.333 0.667 0.870 Se
0.000 0.000 0.530 Se
0.667 0.333 0.227 Si
0.000 0.000 0.296 Si
```

Properties
Energy above the lowest structure with this stoichiometry (meV/atom): 6

***

No. 2
Below is a geometry-optimized Ta2MoCl structure, with properties calculated at the PBE-GGA level.

```
Ta2MoCl
1.0
-3.439 -1.654 -3.734
-1.608 -4.076 -3.051
-3.408 -1.884 2.460
Cl Ta Mo
1 2 1
direct
0.472 0.472 0.466 Cl
0.013 0.013 0.016 Ta
0.753 0.753 0.780 Ta
0.262 0.262 0.239 Mo
```

Properties
Energy above the lowest structure with this stoichiometry (meV/atom): 396

***

No. 3
Below is a geometry-optimized Pm2TeAsRh6 structure, with properties calculated at the PBE-GGA level.

```
Pm2TeAsRh6
1.0
5.526 0.000 0.000
0.000 8.388 0.000
0.000 0.000 8.619
As Rh Pm Te
2 12 4 2
direct
0.000 0.750 0.000 As
0.500 0.250 0.500 As
0.256 0.487 0.500 Rh
0.756 0.013 0.500 Rh
0.000 0.906 0.751 Rh
0.000 0.906 0.249 Rh
0.500 0.094 0.749 Rh
0.756 0.513 0.000 Rh
0.256 0.987 0.000 Rh
0.744 0.987 0.000 Rh
0.244 0.513 0.000 Rh
0.500 0.094 0.251 Rh
0.244 0.013 0.500 Rh
0.744 0.487 0.500 Rh
0.500 0.725 0.762 Pm
0.500 0.725 0.238 Pm
0.000 0.275 0.738 Pm
0.000 0.275 0.262 Pm
0.500 0.263 0.000 Te
0.000 0.737 0.500 Te
```

***

No. 4
Below is a geometry-optimized Mg2AlCo5Ge2 structure, with properties calculated at the PBE-GGA level.

```
Mg2AlCo5Ge2
1.0
-2.616 0.701 1.686
-4.832 -5.991 -5.005
2.067 -6.657 5.974
Co Al Ge Mg
10 2 4 4
direct
0.500 0.934 0.198 Co
0.500 0.198 0.066 Co
0.500 0.802 0.934 Co
0.500 0.500 0.000 Co
0.500 0.566 0.698 Co
0.500 0.698 0.434 Co
0.500 0.066 0.802 Co
0.500 0.000 0.500 Co
0.500 0.302 0.566 Co
0.500 0.434 0.302 Co
0.000 0.500 0.500 Al
0.000 0.000 0.000 Al
0.000 0.629 0.871 Ge
0.000 0.371 0.129 Ge
0.000 0.871 0.371 Ge
0.000 0.129 0.629 Ge
0.000 0.171 0.329 Mg
0.000 0.829 0.671 Mg
0.000 0.329 0.829 Mg
0.000 0.671 0.171 Mg
```

Properties
Formation enthalpy at 0 K (meV per atom): -135

***

No. 5
Below is a geometry-optimized NdDyY2P4 structure, with properties calculated at the PBE-GGA level.

```
NdDyY2P4
1.0
-2.826 2.434 -1.588
-3.274 -5.578 -2.721
-2.509 1.280 6.426
P Dy Y Nd
4 1 2 1
direct
0.000 0.244 0.744 P
0.500 0.247 0.252 P
0.500 0.753 0.748 P
0.000 0.756 0.256 P
0.000 0.000 0.000 Dy
0.500 0.000 0.500 Y
0.000 0.500 0.500 Y
0.500 0.500 0.000 Nd
```

Properties
Formation enthalpy at 0 K (meV per atom): -1595

***

No. 6
Below is a geometry-optimized CsNb2Ga structure, with properties calculated at the PBE-GGA level.

```
CsNb2Ga
1.0
4.833 0.000 0.000
0.000 4.833 0.000
2.416 2.416 9.962
Nb Ga Cs
4 2 2
direct
0.460 0.125 0.250 Nb
0.375 0.540 0.750 Nb
0.290 0.625 0.250 Nb
0.875 0.710 0.750 Nb
0.250 0.750 0.500 Ga
0.500 0.500 0.000 Ga
0.750 0.250 0.500 Cs
0.000 0.000 0.000 Cs
```

Properties
Formation enthalpy at 0 K (meV per atom): 1241

***

Number 1: energy -0.3048 Ry per atom. Number 2: energy -0.6336 Ry per atom. Number 3: energy -0.4917 Ry per atom. Number 4: energy -0.3899 Ry per atom. Number 5: energy -0.5209 Ry per atom. Number 6: energy -0.3501 Ry per atom.